DFT (GGA-PBE) results for a relaxed RbLaRh2S crystal.

Values from the calculation:
Formation energy without anion corrections in eV/atom: -0.066
Total moment in μB per atom: 0.00

Lattice parameters (Å, degrees): 4.685 5.344 4.685 90.00 90.00 90.00
Element x y z (fractional)
Rh  0.000  0.000  0.500
Rh  0.500  0.000  0.000
S  0.000  0.000  0.000
La  0.000  0.500  0.000
Rb  0.500  0.500  0.500

DFT (GGA-PBE) results for a relaxed SrCr2Hg crystal.

Values from the calculation:
Total moment in μB per atom: 2.09
Relative energy among the computed polymorphs in meV/atom: 364
DFT formation energy in eV per atom: 0.66

Lattice parameters (Å, degrees): 5.046 5.046 5.046 60.00 60.00 60.00
Each line ends with the local moment (μB).
Element x y z (fractional)
Hg  0.500  0.500  0.500  -0.07
Sr  0.000  0.000  0.000  0.08
Cr  0.750  0.750  0.750  3.76
Cr  0.250  0.250  0.250  3.76

DFT (GGA-PBE) results for a relaxed ScAl3Pt crystal.

Values from the calculation:
Total moment in μB per atom: 0.00
Relative energy among the computed polymorphs in meV/atom: 0
DFT formation energy in eV per atom: -0.74

Lattice parameters (Å, degrees): 4.063 6.640 6.823 75.18 90.00 90.00
Element x y z (fractional)
Al  0.881  0.677  0.888
Al  0.381  0.406  0.746
Al  0.881  0.268  0.061
Al  0.381  0.997  0.918
Al  0.881  0.644  0.500
Al  0.381  0.031  0.306
Sc  0.381  0.532  0.231
Sc  0.881  0.143  0.575
Pt  0.381  0.795  0.658
Pt  0.881  0.880  0.148

DFT (GGA-PBE) results for a relaxed Li2PuOsO5 crystal.

Values from the calculation:
Formation energy without anion corrections in eV/atom: -1.536
Total moment in μB per atom: 0.65

Lattice parameters (Å, degrees): 5.334 6.203 6.203 90.00 90.00 90.00
Each line ends with the local moment (μB).
Element x y z (fractional)
O  0.500  0.500  0.500  0.01
O  0.500  0.000  0.000  0.01
O  0.766  0.658  0.842  0.05
O  0.234  0.158  0.658  0.05
O  0.234  0.842  0.342  0.05
O  0.766  0.342  0.158  0.05
O  0.234  0.342  0.158  0.05
O  0.234  0.658  0.842  0.05
O  0.766  0.158  0.658  0.05
O  0.766  0.842  0.342  0.05
Pu  0.000  0.500  0.500  4.78
Pu  0.000  0.000  0.000  4.78
Li  0.500  0.804  0.696  0.00
Li  0.500  0.696  0.196  0.00
Li  0.500  0.196  0.304  0.00
Li  0.500  0.304  0.804  0.00
Os  0.000  0.000  0.500  0.69
Os  0.000  0.500  0.000  0.69

DFT (GGA-PBE) results for a relaxed Sr2YTc crystal.

Values from the calculation:
Total moment in μB per atom: 0.13
Relative energy among the computed polymorphs in meV/atom: 401
DFT formation energy in eV per atom: 0.72

Lattice parameters (Å, degrees): 6.295 6.295 6.295 136.02 136.02 63.95
Each line ends with the local moment (μB).
Element x y z (fractional)
Tc  0.250  0.750  0.500  0.70
Sr  0.000  0.000  0.000  -0.02
Sr  0.500  0.500  0.000  -0.02
Y  0.750  0.250  0.500  -0.05

DFT (GGA-PBE) results for a relaxed Ho3GeI3 crystal.

Values from the calculation:
Formation energy without anion corrections in eV/atom: -1.098
Total moment in μB per atom: 0.00

Lattice parameters (Å, degrees): 7.152 7.152 12.132 72.86 72.86 60.00
Element x y z (fractional)
Ho  0.708  0.382  0.865
Ho  0.045  0.708  0.865
Ho  0.618  0.955  0.135
Ho  0.382  0.045  0.865
Ho  0.955  0.292  0.135
Ho  0.292  0.618  0.135
Ge  0.333  0.333  0.000
Ge  0.667  0.667  0.000
I  0.896  0.563  0.312
I  0.229  0.896  0.312
I  0.563  0.229  0.312
I  0.771  0.104  0.688
I  0.104  0.437  0.688
I  0.437  0.771  0.688

DFT (GGA-PBE) results for a relaxed La3VCr crystal.

Values from the calculation:
Total moment in μB per atom: 1.08
Relative energy among the computed polymorphs in meV/atom: 0
DFT formation energy in eV per atom: 0.67

Lattice parameters (Å, degrees): 5.422 5.422 5.422 90.00 90.00 90.00
Each line ends with the local moment (μB).
Element x y z (fractional)
La  0.500  0.000  0.000  -0.03
La  0.000  0.000  0.500  -0.03
La  0.000  0.500  0.000  -0.03
Cr  0.500  0.500  0.500  -4.01
V  0.000  0.000  0.000  -0.56

DFT (GGA-PBE) results for a relaxed MnAsSe2 crystal.

Values from the calculation:
Formation energy without anion corrections in eV/atom: -0.025
Total moment in μB per atom: 0.67

Lattice parameters (Å, degrees): 8.464 8.464 8.464 23.35 23.35 23.35
Each line ends with the local moment (μB).
Element x y z (fractional)
Se  0.030  0.030  0.030  -0.11
Se  0.227  0.227  0.227  -0.03
As  0.490  0.490  0.490  -0.06
Mn  0.753  0.753  0.753  2.84

DFT (GGA-PBE) results for a relaxed LaSnTe2N crystal.

Values from the calculation:
Formation energy without anion corrections in eV/atom: 0.066
Total moment in μB per atom: 0.04
Relative energy among the computed polymorphs in meV/atom: 153

Lattice parameters (Å, degrees): 6.432 6.432 4.052 90.00 90.00 90.00
Each line ends with the local moment (μB).
Element x y z (fractional)
Sn  0.500  0.500  0.500  0.00
Te  0.500  0.000  0.000  0.01
Te  0.000  0.500  0.000  0.01
La  0.000  0.000  0.000  0.08
N  0.000  0.000  0.500  0.10

DFT (GGA-PBE) results for a relaxed PaMn2Co crystal.

Values from the calculation:
Total moment in μB per atom: 1.33
Relative energy among the computed polymorphs in meV/atom: 0
DFT formation energy in eV per atom: 0.00

Lattice parameters (Å, degrees): 4.182 3.794 3.794 90.00 90.00 90.00
Each line ends with the local moment (μB).
Element x y z (fractional)
Co  0.500  0.500  0.500  0.61
Mn  0.000  0.000  0.500  2.53
Mn  0.000  0.500  0.000  2.53
Pa  0.500  0.000  0.000  -0.46

DFT (GGA-PBE) results for a relaxed Pm3Sm4PuS8 crystal.

Values from the calculation:
Formation energy without anion corrections in eV/atom: -2.005
Total moment in μB per atom: 0.36

Lattice parameters (Å, degrees): 8.025 8.023 8.025 120.00 120.00 90.00
Each line ends with the local moment (μB).
Element x y z (fractional)
Pm  0.500  0.500  0.500  0.02
Pm  0.500  0.500  0.000  0.02
Pm  0.000  0.500  0.500  0.02
S  0.752  0.250  0.504  -0.02
S  0.752  0.250  0.999  -0.02
S  0.247  0.250  0.999  -0.02
S  0.753  0.750  0.001  -0.02
S  0.248  0.750  0.496  -0.02
S  0.751  0.752  0.502  0.00
S  0.248  0.750  0.001  -0.02
S  0.249  0.248  0.498  0.00
Sm  0.000  0.000  0.500  0.02
Sm  0.500  0.000  0.000  -0.05
Sm  0.000  0.000  0.000  0.02
Sm  0.500  0.000  0.500  0.02
Pu  0.000  0.500  0.000  5.34